[1]
First-principles (GGA-PBE) data for a relaxed structure of Be2V2Cr, as listed in Alexandria via LeMat-Bulk.

abc: 5.970 5.970 3.047
angles: 90.00 90.00 90.00
Space group P4/mbm (No. 127)
Unique sites:
Be: 0.120 0.380 0.000 x4
V: 0.180 0.680 0.500 x4
Cr: 0.000 0.000 0.000 x2

Output
M_tot ... 0.0 μB/f.u.
E_form ... -65 meV per atom
D(E_F) ... 5.615 states/eV/cell

=====

[2]
First-principles (GGA-PBE) data for a relaxed structure of Be3VCr, as listed in Alexandria via LeMat-Bulk.

abc: 4.134 4.134 4.134
angles: 90.00 90.00 90.00
Space group Pm-3m (No. 221)
Unique sites:
Be: 0.000 0.000 0.500 x3
V: 0.000 0.000 0.000 x1
Cr: 0.500 0.500 0.500 x1

Output
Excess energy over the best structure of this formula in the dataset ... 0.355 eV/atom
M_tot ... 0.8 μB/f.u.
E_form ... 1419 meV per atom
D(E_F) ... 5.301 states/eV/cell

=====

[3]
First-principles (GGA-PBE) data for a relaxed structure of BeV3Cr, as listed in Alexandria via LeMat-Bulk.

abc: 4.108 4.108 4.108
angles: 90.00 90.00 90.00
Space group Pm-3m (No. 221)
Unique sites:
Be: 0.000 0.000 0.000 x1
V: 0.000 0.000 0.500 x3
Cr: 0.500 0.500 0.500 x1

Output
Excess energy over the best structure of this formula in the dataset ... 0.000 eV/atom
M_tot ... 1.8 μB/f.u.
E_form ... 804 meV per atom
D(E_F) ... 7.451 states/eV/cell